[1]
Material: NdThOs4
Method: DFT, PBE-GGA
State: optimized geometry

Cell lengths 5.453, 5.453, 5.453 Å; angles 60.00, 60.00, 60.00 degrees
Element x y z (fractional)
Nd1 0.250 0.250 0.250
Os1 0.625 0.625 0.125
Os2 0.625 0.125 0.625
Os3 0.625 0.625 0.625
Os4 0.125 0.625 0.625
Th1 0.000 0.000 0.000



[2]
Material: Nd2ThOs2
Method: DFT, PBE-GGA
State: optimized geometry

Cell lengths 4.371, 6.106, 6.102 Å; angles 58.67, 69.01, 69.04 degrees
Element x y z (fractional)
Nd1 0.303 0.197 0.697
Nd2 0.697 0.803 0.303
Th1 0.500 0.500 0.000
Os1 0.000 0.215 0.284
Os2 0.000 0.785 0.716



[3]
Material: Nd2Th3Os2
Method: DFT, PBE-GGA
State: optimized geometry

Cell lengths 3.983, 6.494, 8.586 Å; angles 71.28, 76.59, 72.14 degrees
Element x y z (fractional)
Nd1 0.161 0.487 0.191
Nd2 0.839 0.513 0.809
Th1 0.500 0.000 0.000
Th2 0.379 0.801 0.441
Th3 0.621 0.199 0.559
Os1 0.156 0.928 0.760
Os2 0.844 0.072 0.240



[4]
Material: NdThTlOs
Method: DFT, PBE-GGA
State: optimized geometry

Cell lengths 4.154, 4.152, 8.461 Å; angles 90.00, 104.27, 119.98 degrees
Element x y z (fractional)
Nd1 0.509 0.152 0.676
Th1 0.091 0.943 0.050
Tl1 0.968 0.382 0.365
Os1 0.310 0.553 0.878



[5]
Material: NdThZnOs
Method: DFT, PBE-GGA
State: optimized geometry

Cell lengths 5.093, 5.093, 5.093 Å; angles 60.00, 60.00, 60.00 degrees
Element x y z (fractional)
Nd1 0.250 0.250 0.250
Zn1 0.000 0.000 0.000
Os1 0.500 0.500 0.500
Th1 0.750 0.750 0.750



[6]
Material: Nd8TlOs2
Method: DFT, PBE-GGA
State: optimized geometry

Cell lengths 5.643, 8.146, 8.146 Å; angles 112.32, 97.10, 97.10 degrees
Element x y z (fractional)
Nd1 0.570 0.329 0.066
Nd2 0.570 0.066 0.329
Nd3 0.205 0.389 0.389
Nd4 0.000 0.254 0.751
Nd5 0.000 0.751 0.254
Nd6 0.796 0.618 0.618
Nd7 0.429 0.939 0.677
Nd8 0.429 0.677 0.939
Tl1 0.000 0.004 0.004
Os1 0.500 0.690 0.316
Os2 0.500 0.316 0.690



[7]
Material: Nd8Tl2Os
Method: DFT, PBE-GGA
State: optimized geometry

Cell lengths 5.595, 7.193, 9.424 Å; angles 110.34, 107.27, 90.00 degrees
Element x y z (fractional)
Nd1 0.399 0.594 0.798
Nd2 0.643 0.916 0.285
Nd3 0.800 0.747 0.601
Nd4 0.992 0.227 0.984
Nd5 0.200 0.253 0.399
Nd6 0.357 0.084 0.715
Nd7 0.601 0.406 0.202
Nd8 0.008 0.773 0.016
Tl1 0.818 0.308 0.636
Tl2 0.182 0.692 0.364
Os1 0.500 0.000 0.000



[8]
Material: Nd5Tl2Os2
Method: DFT, PBE-GGA
State: optimized geometry

Cell lengths 7.713, 7.929, 9.246 Å; angles 90.00, 65.35, 90.00 degrees
Element x y z (fractional)
Nd1 0.000 0.000 0.000
Nd2 0.500 0.500 0.000
Nd3 0.437 0.181 0.762
Nd4 0.801 0.819 0.762
Nd5 0.301 0.681 0.762
Nd6 0.937 0.319 0.762
Nd7 0.563 0.819 0.238
Nd8 0.199 0.181 0.238
Nd9 0.699 0.319 0.238
Nd10 0.063 0.681 0.238
Tl1 0.223 0.000 0.555
Tl2 0.723 0.500 0.555
Tl3 0.777 0.000 0.445
Tl4 0.277 0.500 0.445
Os1 0.109 0.382 0.000
Os2 0.891 0.618 0.000
Os3 0.391 0.882 0.000
Os4 0.609 0.118 0.000



[9]
Material: Nd2TlOs
Method: DFT, PBE-GGA
State: optimized geometry

Cell lengths 3.467, 3.467, 8.820 Å; angles 90.00, 90.00, 90.00 degrees
Element x y z (fractional)
Nd1 0.000 0.000 0.801
Nd2 0.000 0.000 0.199
Tl1 0.500 0.500 0.500
Os1 0.500 0.500 0.000



[10]
Material: Nd6TlOs2
Method: DFT, PBE-GGA
State: optimized geometry

Cell lengths 8.800, 8.800, 8.800 Å; angles 105.52, 110.29, 112.68 degrees
Element x y z (fractional)
Nd1 0.535 0.719 0.815
Nd2 0.465 0.281 0.185
Nd3 0.096 0.281 0.815
Nd4 0.904 0.719 0.185
Nd5 0.791 0.761 0.552
Nd6 0.209 0.239 0.448
Nd7 0.209 0.761 0.970
Nd8 0.791 0.239 0.030
Nd9 0.688 0.359 0.671
Nd10 0.312 0.641 0.329
Nd11 0.312 0.983 0.671
Nd12 0.688 0.017 0.329
Tl1 0.000 0.500 0.500
Tl2 0.000 0.000 0.000
Os1 0.500 0.384 0.884
Os2 0.500 0.616 0.116
Os3 0.667 0.000 0.667
Os4 0.333 0.000 0.333



[11]
Material: Nd5Tl2Os
Method: DFT, PBE-GGA
State: optimized geometry

Cell lengths 5.738, 8.943, 12.647 Å; angles 90.00, 90.00, 108.71 degrees
Element x y z (fractional)
Nd1 0.933 0.867 0.897
Nd2 0.933 0.867 0.603
Nd3 0.293 0.585 0.423
Nd4 0.293 0.585 0.077
Nd5 0.697 0.395 0.250
Nd6 0.303 0.605 0.750
Nd7 0.707 0.415 0.577
Nd8 0.707 0.415 0.923
Nd9 0.067 0.133 0.103
Nd10 0.067 0.133 0.397
Tl1 0.874 0.747 0.368
Tl2 0.874 0.747 0.132
Tl3 0.126 0.253 0.632
Tl4 0.126 0.253 0.868
Os1 0.817 0.633 0.750
Os2 0.183 0.367 0.250

Values from the calculation:
Relative energy among the computed polymorphs = 343.5 meV/atom



[12]
Material: Nd8Tl3Os2
Method: DFT, PBE-GGA
State: optimized geometry

Cell lengths 5.256, 8.127, 9.941 Å; angles 114.13, 90.53, 90.00 degrees
Element x y z (fractional)
Nd1 0.268 0.576 0.152
Nd2 0.732 0.424 0.848
Nd3 0.227 0.162 0.323
Nd4 0.773 0.838 0.677
Nd5 0.252 0.106 0.651
Nd6 0.252 0.546 0.651
Nd7 0.748 0.454 0.349
Nd8 0.748 0.894 0.349
Tl1 0.500 0.000 0.000
Tl2 0.000 0.804 0.000
Tl3 0.000 0.196 0.000
Os1 0.754 0.271 0.542
Os2 0.246 0.729 0.458



[13]
Material: Nd12Tl6Os
Method: DFT, PBE-GGA
State: optimized geometry

Cell lengths 8.597, 8.597, 8.597 Å; angles 94.06, 94.06, 94.06 degrees
Element x y z (fractional)
Nd1 0.800 0.573 0.454
Nd2 0.454 0.800 0.573
Nd3 0.573 0.454 0.800
Nd4 0.200 0.427 0.546
Nd5 0.546 0.200 0.427
Nd6 0.427 0.546 0.200
Nd7 0.975 0.085 0.316
Nd8 0.915 0.684 0.025
Nd9 0.684 0.025 0.915
Nd10 0.025 0.915 0.684
Nd11 0.085 0.316 0.975
Nd12 0.316 0.975 0.085
Tl1 0.655 0.862 0.271
Tl2 0.729 0.345 0.138
Tl3 0.138 0.729 0.345
Tl4 0.345 0.138 0.729
Tl5 0.271 0.655 0.862
Tl6 0.862 0.271 0.655
Os1 0.000 0.000 0.000



[14]
Material: Nd5Tl2Os
Method: DFT, PBE-GGA
State: optimized geometry

Cell lengths 4.795, 8.113, 12.492 Å; angles 90.00, 90.00, 90.00 degrees
Element x y z (fractional)
Nd1 0.000 0.000 0.500
Nd2 0.000 0.500 0.000
Nd3 0.000 0.859 0.202
Nd4 0.000 0.141 0.798
Nd5 0.000 0.641 0.702
Nd6 0.000 0.359 0.298
Nd7 0.500 0.683 0.431
Nd8 0.500 0.317 0.569
Nd9 0.500 0.817 0.931
Nd10 0.500 0.183 0.069
Tl1 0.500 0.573 0.170
Tl2 0.500 0.427 0.830
Tl3 0.500 0.927 0.670
Tl4 0.500 0.073 0.330
Os1 0.000 0.500 0.500
Os2 0.000 0.000 0.000

Values from the calculation:
Relative energy among the computed polymorphs = 0.0 meV/atom



[15]
Material: NdTmOs4
Method: DFT, PBE-GGA
State: optimized geometry

Cell lengths 5.386, 5.386, 5.386 Å; angles 60.00, 60.00, 60.00 degrees
Element x y z (fractional)
Nd1 0.250 0.250 0.250
Tm1 0.000 0.000 0.000
Os1 0.625 0.625 0.124
Os2 0.625 0.124 0.625
Os3 0.625 0.625 0.625
Os4 0.124 0.625 0.625



[16]
Material: NdTmOs
Method: DFT, PBE-GGA
State: optimized geometry

Cell lengths 4.825, 4.825, 4.825 Å; angles 60.00, 60.00, 60.00 degrees
Element x y z (fractional)
Nd1 0.500 0.500 0.500
Tm1 0.000 0.000 0.000
Os1 0.250 0.250 0.250

Values from the calculation:
Relative energy among the computed polymorphs = 23.4 meV/atom



[17]
Material: NdTmOs
Method: DFT, PBE-GGA
State: optimized geometry

Cell lengths 6.867, 6.904, 6.925 Å; angles 90.00, 104.47, 90.00 degrees
Element x y z (fractional)
Os1 0.506 0.489 0.231
Os2 0.494 0.511 0.769
Os3 0.006 0.011 0.731
Os4 0.994 0.989 0.269
Tm1 0.202 0.334 0.921
Tm2 0.798 0.666 0.079
Tm3 0.298 0.834 0.579
Tm4 0.702 0.166 0.421
Nd1 0.297 0.833 0.075
Nd2 0.797 0.667 0.575
Nd3 0.703 0.167 0.925
Nd4 0.203 0.333 0.425

Values from the calculation:
Relative energy among the computed polymorphs = 122.6 meV/atom



[18]
Material: NdTm2Os
Method: DFT, PBE-GGA
State: optimized geometry

Cell lengths 6.364, 7.479, 8.961 Å; angles 90.00, 90.00, 90.00 degrees
Element x y z (fractional)
Nd1 0.626 0.538 0.250
Nd2 0.874 0.038 0.250
Nd3 0.374 0.462 0.750
Nd4 0.126 0.962 0.750
Tm1 0.161 0.673 0.064
Tm2 0.339 0.173 0.436
Tm3 0.839 0.327 0.564
Tm4 0.661 0.827 0.936
Tm5 0.839 0.327 0.936
Tm6 0.661 0.827 0.564
Tm7 0.161 0.673 0.436
Tm8 0.339 0.173 0.064
Os1 0.054 0.382 0.250
Os2 0.446 0.882 0.250
Os3 0.946 0.618 0.750
Os4 0.554 0.118 0.750

Values from the calculation:
Relative energy among the computed polymorphs = 0.0 meV/atom



[19]
Material: Nd2TmOs
Method: DFT, PBE-GGA
State: optimized geometry

Cell lengths 6.444, 7.446, 9.443 Å; angles 90.00, 90.00, 90.00 degrees
Element x y z (fractional)
Nd1 0.172 0.676 0.064
Nd2 0.328 0.176 0.436
Nd3 0.828 0.324 0.564
Nd4 0.672 0.824 0.936
Nd5 0.828 0.324 0.936
Nd6 0.672 0.824 0.564
Nd7 0.172 0.676 0.436
Nd8 0.328 0.176 0.064
Tm1 0.641 0.544 0.250
Tm2 0.859 0.044 0.250
Tm3 0.359 0.456 0.750
Tm4 0.141 0.956 0.750
Os1 0.031 0.383 0.250
Os2 0.469 0.883 0.250
Os3 0.969 0.617 0.750
Os4 0.531 0.117 0.750

Values from the calculation:
Relative energy among the computed polymorphs = 0.0 meV/atom



[20]
Material: NdTm2Os
Method: DFT, PBE-GGA
State: optimized geometry

Cell lengths 3.394, 3.394, 9.157 Å; angles 90.00, 90.00, 90.00 degrees
Element x y z (fractional)
Nd1 0.500 0.500 0.500
Tm1 0.000 0.000 0.823
Tm2 0.000 0.000 0.177
Os1 0.500 0.500 0.000

Values from the calculation:
Relative energy among the computed polymorphs = 42.2 meV/atom



[21]
Material: NdTm2Os
Method: DFT, PBE-GGA
State: optimized geometry

Cell lengths 4.730, 4.730, 5.988 Å; angles 66.74, 66.74, 60.00 degrees
Element x y z (fractional)
Nd1 0.500 0.500 0.500
Tm1 0.279 0.279 0.164
Tm2 0.721 0.721 0.836
Os1 0.000 0.000 0.000

Values from the calculation:
Relative energy among the computed polymorphs = 313.9 meV/atom



[22]
Material: NdTmOs
Method: DFT, PBE-GGA
State: optimized geometry

Cell lengths 3.422, 3.422, 7.111 Å; angles 103.92, 103.92, 90.00 degrees
Element x y z (fractional)
Os1 0.672 0.672 0.344
Tm1 0.289 0.289 0.579
Nd1 0.039 0.039 0.078

Values from the calculation:
Relative energy among the computed polymorphs = 0.0 meV/atom



[23]
Material: Nd2TmOs
Method: DFT, PBE-GGA
State: optimized geometry

Cell lengths 3.561, 3.561, 11.070 Å; angles 80.74, 80.74, 60.00 degrees
Element x y z (fractional)
Nd1 0.105 0.105 0.685
Nd2 0.895 0.895 0.315
Tm1 0.000 0.000 0.000
Os1 0.500 0.500 0.500

Values from the calculation:
Relative energy among the computed polymorphs = 561.7 meV/atom



Calculated electronic total energy in order - -9.688; -8.047; -7.972; -6.615; -6.332; -5.804; -5.071; -5.866; -5.946; -6.107; -4.899; -5.262; -4.502; -5.243; -9.212; -6.958; -6.859; -6.471; -6.464; -6.429; -6.157; -6.981; -5.903 eV per atom
Calculated D(E_F) in order - 0.798; 1.005; 1.081; 0.599; 0.547; 1.076; 1.036; 0.713; 0.685; 0.895; 1.006; 0.794; 1.023; 0.970; 0.995; 0.641; 0.433; 0.907; 0.851; 0.666; 0.994; 0.527; 1.384 states/eV/atom
Calculated ΔE_f in order - -0.170; -0.164; -0.221; -0.169; -0.159; -0.079; -0.153; -0.196; -0.163; -0.170; 0.076; -0.055; -0.152; -0.268; -0.186; -0.135; -0.036; -0.236; -0.155; -0.194; 0.078; -0.158; 0.407 eV/atom